(1)
## AcNpPd (PBE)

Data for an optimized crystal structure of AcNpPd.

a b c (Å): 7.2033 7.2033 7.2033
angles (deg): 90.00 90.00 90.00
Last column: nearest neighbours and their distance in Å.
Space group F-43m (No. 216)
Symmetry-distinct sites (fractional):
Ac (0.0000, 0.0000, 0.0000) (multiplicity 4)  4 Pd 3.12
Np (0.0000, 0.0000, 0.5000) (multiplicity 4)  4 Pd 3.12
Pd (0.2500, 0.2500, 0.2500) (multiplicity 4)  4 Ac 3.12, 4 Np 3.12

## Properties
E_form ... 0.12 eV/atom
ΔE to the lowest computed polymorph ... 0 meV/atom


(2)
## AcPmNp (PBE)

Data for an optimized crystal structure of AcPmNp.

a b c (Å): 7.6609 7.6609 7.6609
angles (deg): 90.00 90.00 90.00
Last column: nearest neighbours and their distance in Å.
Space group F-43m (No. 216)
Symmetry-distinct sites (fractional):
Ac (0.0000, 0.0000, 0.0000) (multiplicity 4)  4 Pm 3.32
Pm (0.2500, 0.2500, 0.2500) (multiplicity 4)  4 Ac 3.32, 4 Np 3.32
Np (0.0000, 0.0000, 0.5000) (multiplicity 4)  4 Pm 3.32

## Properties
E_form ... 1.15 eV/atom
ΔE to the lowest computed polymorph ... 0 meV/atom


(3)
## AcPuNp (PBE)

Data for an optimized crystal structure of AcPuNp.

a b c (Å): 7.2141 7.2141 7.2141
angles (deg): 90.00 90.00 90.00
Last column: nearest neighbours and their distance in Å.
Space group F-43m (No. 216)
Symmetry-distinct sites (fractional):
Ac (0.0000, 0.0000, 0.0000) (multiplicity 4)  4 Np 3.12, 4 Pu 3.12
Pu (0.2500, 0.2500, 0.2500) (multiplicity 4)  4 Ac 3.12
Np (0.2500, 0.2500, 0.7500) (multiplicity 4)  4 Ac 3.12

## Properties
E_form ... 1.34 eV/atom
ΔE to the lowest computed polymorph ... 353 meV/atom


(4)
## AcPuNp (PBE)

Data for an optimized crystal structure of AcPuNp.

a b c (Å): 7.4175 7.4175 7.4175
angles (deg): 90.00 90.00 90.00
Last column: nearest neighbours and their distance in Å.
Space group F-43m (No. 216)
Symmetry-distinct sites (fractional):
Ac (0.0000, 0.0000, 0.0000) (multiplicity 4)  4 Pu 3.21
Pu (0.2500, 0.2500, 0.2500) (multiplicity 4)  4 Np 3.21, 4 Ac 3.21
Np (0.0000, 0.0000, 0.5000) (multiplicity 4)  4 Pu 3.21

## Properties
E_form ... 0.98 eV/atom
ΔE to the lowest computed polymorph ... 0 meV/atom


(5)
## RbAcNp (PBE)

Data for an optimized crystal structure of RbAcNp.

a b c (Å): 8.7566 8.7566 8.7566
angles (deg): 90.00 90.00 90.00
Last column: nearest neighbours and their distance in Å.
Space group F-43m (No. 216)
Symmetry-distinct sites (fractional):
Rb (0.0000, 0.0000, 0.0000) (multiplicity 4)  4 Np 3.79
Ac (0.0000, 0.0000, 0.5000) (multiplicity 4)  4 Np 3.79
Np (0.2500, 0.2500, 0.7500) (multiplicity 4)  4 Ac 3.79, 4 Rb 3.79

## Properties
ΔE to the lowest computed polymorph ... 0 meV/atom


(6)
## AcNpSb (PBE)

Data for an optimized crystal structure of AcNpSb.

a b c (Å): 7.7148 7.7148 7.7148
angles (deg): 90.00 90.00 90.00
Last column: nearest neighbours and their distance in Å.
Space group F-43m (No. 216)
Symmetry-distinct sites (fractional):
Ac (0.0000, 0.0000, 0.0000) (multiplicity 4)  4 Sb 3.34, 4 Np 3.34
Np (0.2500, 0.2500, 0.7500) (multiplicity 4)  4 Ac 3.34
Sb (0.2500, 0.2500, 0.2500) (multiplicity 4)  4 Ac 3.34

## Properties
ΔE to the lowest computed polymorph ... 210 meV/atom


(7)
## AcNpSb (PBE)

Data for an optimized crystal structure of AcNpSb.

a b c (Å): 7.5245 7.5245 7.5245
angles (deg): 90.00 90.00 90.00
Last column: nearest neighbours and their distance in Å.
Space group F-43m (No. 216)
Symmetry-distinct sites (fractional):
Ac (0.0000, 0.0000, 0.0000) (multiplicity 4)  4 Np 3.26
Np (0.2500, 0.2500, 0.2500) (multiplicity 4)  4 Ac 3.26, 4 Sb 3.26
Sb (0.0000, 0.0000, 0.5000) (multiplicity 4)  4 Np 3.26

## Properties
ΔE to the lowest computed polymorph ... 0 meV/atom


(8)
## AcNp2Se5 (PBE)

Data for an optimized crystal structure of AcNp2Se5.

a b c (Å): 7.7313 7.7313 13.5846
angles (deg): 90.00 90.00 90.00
Last column: nearest neighbours and their distance in Å.
Space group I4/mcm (No. 140)
Symmetry-distinct sites (fractional):
Ac (0.0000, 0.0000, 0.2500) (multiplicity 4)  10 Se 3.29-3.40
Np (0.1505, 0.3495, 0.0000) (multiplicity 8)  8 Se 2.86-3.03
Se (0.0000, 0.0000, 0.0000) (multiplicity 4)  4 Np 2.94
Se (0.1545, 0.3455, 0.3602) (multiplicity 16)  3 Np 2.86-3.03

## Properties
Uncorrected energy ... -7.363 eV per atom